No. 1
# Hf3InBr

An optimized crystal structure of Hf3InBr (PBE, Alexandria).

```
data_Hf3InBr
_chemical_formula_sum 'Hf3 In1 Br1'
_cell_length_a 4.932
_cell_length_b 4.932
_cell_length_c 4.932
_cell_angle_alpha 90.00
_cell_angle_beta 90.00
_cell_angle_gamma 90.00
_space_group_name_H-M_alt 'P m -3 m'
_space_group_IT_number 221
_space_group_name_Hall '-P 4 2 3'
loop_
_atom_site_label
_atom_site_type_symbol
_atom_site_fract_x
_atom_site_fract_y
_atom_site_fract_z
Hf1 Hf 0.000 0.000 0.500
In1 In 0.500 0.500 0.500
Br1 Br 0.000 0.000 0.000
```

The energy relative to the elements, uncorrected is 0.581 eV per atom.


No. 2
# La2HBr2

An optimized crystal structure of La2HBr2 (PBE, Alexandria).

```
data_La2HBr2
_chemical_formula_sum 'La4 H2 Br4'
_cell_length_a 7.194
_cell_length_b 7.194
_cell_length_c 5.093
_cell_angle_alpha 90.00
_cell_angle_beta 90.00
_cell_angle_gamma 90.00
_space_group_name_H-M_alt 'P 4/m b m'
_space_group_IT_number 127
_space_group_name_Hall '-P 4 2ab'
loop_
_atom_site_label
_atom_site_type_symbol
_atom_site_fract_x
_atom_site_fract_y
_atom_site_fract_z
La1 La 0.171 0.329 0.000
H1 H 0.000 0.000 0.000
Br1 Br 0.165 0.665 0.500
```

The final energy comes out at -4.32 eV per atom.


No. 3
# YHoIr

An optimized crystal structure of YHoIr (PBE, Alexandria).

```
data_YHoIr
_chemical_formula_sum 'Y4 Ho4 Ir4'
_cell_length_a 6.789
_cell_length_b 6.789
_cell_length_c 6.789
_cell_angle_alpha 90.00
_cell_angle_beta 90.00
_cell_angle_gamma 90.00
_space_group_name_H-M_alt 'F -4 3 m'
_space_group_IT_number 216
_space_group_name_Hall 'F -4 2 3'
loop_
_atom_site_label
_atom_site_type_symbol
_atom_site_fract_x
_atom_site_fract_y
_atom_site_fract_z
Y1 Y 0.000 0.000 0.000
Ho1 Ho 0.000 0.000 0.500
Ir1 Ir 0.250 0.250 0.250
```

As for the formation energy: -0.691 eV per atom.


No. 4
# ErMg8Cu4

An optimized crystal structure of ErMg8Cu4 (PBE, Alexandria).

```
data_ErMg8Cu4
_chemical_formula_sum 'Er2 Mg16 Cu8'
_cell_length_a 9.511
_cell_length_b 9.511
_cell_length_c 5.361
_cell_angle_alpha 90.00
_cell_angle_beta 90.00
_cell_angle_gamma 90.00
_space_group_name_H-M_alt 'I 4/m m m'
_space_group_IT_number 139
_space_group_name_Hall '-I 4 2'
loop_
_atom_site_label
_atom_site_type_symbol
_atom_site_fract_x
_atom_site_fract_y
_atom_site_fract_z
Er1 Er 0.000 0.000 0.000
Mg1 Mg 0.000 0.215 0.500
Mg2 Mg 0.000 0.341 0.000
Cu1 Cu 0.250 0.250 0.250
```

As for the formation energy: -0.093 eV per atom.


No. 5
# MgB3

An optimized crystal structure of MgB3 (PBE, Alexandria).

```
data_MgB3
_chemical_formula_sum 'Mg9 B27'
_cell_length_a 4.5803
_cell_length_b 4.5803
_cell_length_c 20.3843
_cell_angle_alpha 90.00
_cell_angle_beta 90.00
_cell_angle_gamma 120.00
_space_group_name_H-M_alt 'R -3 m'
_space_group_IT_number 166
_space_group_name_Hall '-R 3 2"'
loop_
_atom_site_label
_atom_site_type_symbol
_atom_site_fract_x
_atom_site_fract_y
_atom_site_fract_z
Mg1 Mg 0.0000 0.0000 0.0000
Mg2 Mg 0.0000 0.0000 0.1326
B1 B 0.0000 0.0000 0.4166
B2 B 0.0000 0.0000 0.5000
B3 B 0.0910 0.5455 0.9146
```

As for the formation energy: 0.287 eV per atom.


No. 6
# RbLiAu10

An optimized crystal structure of RbLiAu10 (PBE, Alexandria).

```
data_RbLiAu10
_chemical_formula_sum 'Rb1 Li1 Au10'
_cell_length_a 4.702
_cell_length_b 5.644
_cell_length_c 9.804
_cell_angle_alpha 90.00
_cell_angle_beta 90.00
_cell_angle_gamma 90.00
_space_group_name_H-M_alt 'P m m m'
_space_group_IT_number 47
loop_
_space_group_symop_operation_xyz
'x,y,z'
'-x,-y,-z'
'-x,-y,z'
'x,y,-z'
'x,-y,-z'
'-x,y,z'
'-x,y,-z'
'x,-y,z'
loop_
_atom_site_label
_atom_site_type_symbol
_atom_site_fract_x
_atom_site_fract_y
_atom_site_fract_z
Rb1 Rb 0.000 0.000 0.000
Li1 Li 0.000 0.500 0.500
Au1 Au 0.000 0.000 0.345
Au2 Au 0.000 0.500 0.201
Au3 Au 0.500 0.000 0.500
Au4 Au 0.500 0.250 0.254
Au5 Au 0.500 0.500 0.000
```

As for the formation energy: -0.171 eV per atom.


No. 7
# Mn3W

An optimized crystal structure of Mn3W (PBE, Alexandria).

```
data_Mn3W
_chemical_formula_sum 'Mn3 W1'
_cell_length_a 3.660
_cell_length_b 3.660
_cell_length_c 3.660
_cell_angle_alpha 90.00
_cell_angle_beta 90.00
_cell_angle_gamma 90.00
_space_group_name_H-M_alt 'P m -3 m'
_space_group_IT_number 221
_space_group_name_Hall '-P 4 2 3'
loop_
_atom_site_label
_atom_site_type_symbol
_atom_site_fract_x
_atom_site_fract_y
_atom_site_fract_z
Mn1 Mn 0.000 0.000 0.500
W1 W 0.500 0.500 0.500
```

As for the formation energy: 0.183 eV per atom.


No. 8
# Pr2RuPt

An optimized crystal structure of Pr2RuPt (PBE, Alexandria).

```
data_Pr2RuPt
_chemical_formula_sum 'Pr2 Ru1 Pt1'
_cell_length_a 3.548
_cell_length_b 3.548
_cell_length_c 7.331
_cell_angle_alpha 90.00
_cell_angle_beta 90.00
_cell_angle_gamma 90.00
_space_group_name_H-M_alt 'P 4/m m m'
_space_group_IT_number 123
_space_group_name_Hall '-P 4 2'
loop_
_atom_site_label
_atom_site_type_symbol
_atom_site_fract_x
_atom_site_fract_y
_atom_site_fract_z
Pr1 Pr 0.000 0.000 0.244
Ru1 Ru 0.500 0.500 0.000
Pt1 Pt 0.500 0.500 0.500
```

As for the formation energy: -0.560 eV per atom.